Record 1
The following is a SCAN calculation of a crystal of V2S3O12 relaxed with PBEsol, from Alexandria via LeMat-Bulk.

Structure (extended XYZ):
```
34
Lattice="-6.370 1.720 3.503 -3.598 -5.733 3.161 1.200 0.055 8.535" Properties=species:S:1:pos:R:3 pbc="T T T"
V -5.007 -4.331 8.197
V -5.773 -0.632 12.633
V -2.996 -3.326 2.566
V -3.762 0.374 7.002
S -6.383 -1.561 7.212
S -5.037 -3.539 11.388
S -3.464 -5.275 5.316
S -5.305 1.317 9.884
S -3.732 -0.419 3.812
S -2.386 -2.397 7.987
O -8.575 -4.031 9.435
O -8.242 -3.285 13.736
O -6.988 -0.771 8.226
O -6.279 -3.009 7.528
O -7.297 -1.541 5.929
O -4.950 -4.610 12.317
O -4.371 -4.756 6.348
O -5.054 -1.088 6.766
O -5.894 -2.405 11.822
O -5.755 -4.047 10.081
O -5.623 0.251 10.844
O -5.033 -0.965 4.255
O -3.736 -2.993 10.945
O -3.146 -4.209 4.355
O -3.014 0.089 5.119
O -2.875 -1.553 3.378
O -3.714 -2.870 8.434
O -4.398 0.798 8.851
O -3.819 0.652 2.883
O -1.472 -2.416 9.270
O -2.490 -0.949 7.672
O -1.781 -3.186 6.973
O -0.527 -0.672 1.464
O -0.194 0.073 5.764
```

Properties
As for the crystal system: monoclinic. The space group is C2/c (15). The calculation puts the uncorrected formation energy at -1.85 eV/atom.



Record 2
The following is a SCAN calculation of a crystal of V2S2O11 relaxed with PBEsol, from Alexandria via LeMat-Bulk.

Structure (extended XYZ):
```
60
Lattice="8.987 0.000 0.000 0.000 9.918 0.011 0.000 -2.514 9.206" Properties=species:S:1:pos:R:3 pbc="T T T"
V 1.161 1.685 5.908
V 5.654 4.461 7.913
V 7.827 5.718 3.309
V 3.333 2.942 1.304
V 7.854 0.795 3.491
V 3.361 7.866 1.123
V 1.133 6.609 5.726
V 5.626 -0.462 8.094
S 8.315 -0.747 6.543
S 3.821 6.894 7.277
S 0.672 8.151 2.674
S 5.166 0.510 1.940
S 7.073 3.246 5.287
S 2.579 2.900 8.533
S 1.914 4.157 3.930
S 6.408 4.503 0.684
O 8.374 3.281 5.924
O 3.880 2.865 7.896
O 0.613 4.122 3.293
O 5.107 4.538 1.321
O 6.780 1.912 4.684
O 2.286 4.235 9.136
O 2.207 5.492 4.533
O 6.701 3.169 0.081
O 6.915 4.255 4.197
O 2.422 4.406 0.417
O 2.072 3.149 5.020
O 6.565 2.998 8.800
O 5.950 3.487 6.238
O 1.456 2.659 7.582
O 7.642 -0.715 5.257
O 3.037 3.916 2.979
O 5.461 0.532 6.889
O 0.967 5.615 6.931
O 3.526 6.872 2.328
O 8.020 1.789 2.286
O 2.115 1.950 1.333
O 6.608 6.710 3.281
O 6.873 5.453 7.884
O 2.379 0.693 5.936
O 4.168 -0.074 9.027
O 8.662 6.221 4.793
O 4.819 7.478 0.190
O 0.325 1.183 4.424
O 6.072 0.083 3.043
O 1.578 8.578 1.571
O 2.915 7.321 6.174
O 7.409 -1.174 7.646
O 4.029 -0.451 1.965
O 8.522 9.112 2.649
O 4.958 7.855 7.252
O 0.465 -1.708 6.568
O 4.612 1.854 2.325
O 0.119 6.807 2.289
O 4.375 5.550 6.892
O 8.868 0.597 6.928
O 5.839 0.542 0.654
O 1.345 8.119 3.960
O 3.149 6.862 8.563
O 7.531 4.745 1.635
```

Properties
The density of states at the Fermi level is 0.000 states/eV per atom. As for the crystal system: monoclinic. The space group is P2_1/c (14). The calculation puts the uncorrected formation energy at -1.93 eV/atom.



Record 3
The following is a SCAN calculation of a crystal of VS2O8 relaxed with PBEsol, from Alexandria via LeMat-Bulk.

Structure (extended XYZ):
```
88
Lattice="8.880 0.000 0.000 0.000 9.072 0.000 0.000 0.000 12.910" Properties=species:S:1:pos:R:3 pbc="T T T"
V 0.995 1.298 1.639
V 3.445 1.298 8.094
V 5.435 3.237 1.639
V 7.885 3.237 8.094
V 0.995 5.834 4.816
V 3.445 5.834 11.271
V 5.435 7.773 4.816
V 7.885 7.773 11.271
S 0.530 0.665 9.244
S 3.910 0.665 2.789
S 6.080 1.422 6.253
S 7.240 1.422 12.708
S 1.640 3.113 6.253
S 2.800 3.113 12.708
S 8.350 3.871 2.789
S 4.970 3.871 9.244
S 3.910 5.201 3.666
S 0.530 5.201 10.121
S 6.080 5.958 0.202
S 7.240 5.958 6.657
S 1.640 7.649 0.202
S 2.800 7.649 6.657
S 4.970 8.406 10.121
S 8.350 8.406 3.666
O 6.220 9.003 6.094
O 7.100 9.003 12.549
O 8.784 0.123 4.767
O 4.536 0.123 11.222
O 4.286 0.142 4.145
O 0.154 0.142 10.600
O 2.043 0.819 9.299
O 2.397 0.819 2.844
O 6.441 1.743 1.047
O 6.878 1.743 7.502
O 8.665 1.688 0.211
O 4.655 1.688 6.666
O 8.866 2.083 9.244
O 4.454 2.083 2.789
O 6.450 2.165 5.103
O 6.870 2.165 11.558
O 2.010 2.371 5.103
O 2.430 2.371 11.558
O 0.014 2.453 2.789
O 4.426 2.453 9.244
O 0.215 2.848 6.666
O 4.225 2.848 0.211
O 2.002 2.793 1.047
O 2.438 2.793 7.502
O 6.837 3.717 2.844
O 6.483 3.717 9.299
O 4.594 4.394 10.600
O 8.726 4.394 4.145
O 4.344 4.413 4.767
O 0.096 4.413 11.222
O 1.780 4.604 6.094
O 2.660 4.604 12.549
O 6.220 4.467 0.361
O 7.100 4.467 6.816
O 4.536 4.659 8.143
O 8.784 4.659 1.688
O 4.286 4.678 2.310
O 0.154 4.678 8.765
O 2.397 5.355 3.611
O 2.043 5.355 10.066
O 6.441 6.279 5.408
O 6.878 6.279 11.863
O 4.655 6.223 12.699
O 8.665 6.223 6.244
O 4.454 6.619 3.666
O 8.866 6.619 10.121
O 6.450 6.701 1.352
O 6.870 6.701 7.807
O 2.010 6.907 1.352
O 2.430 6.907 7.807
O 4.426 6.989 10.121
O 0.014 6.989 3.666
O 4.225 7.384 6.244
O 0.215 7.384 12.699
O 2.002 7.328 5.408
O 2.438 7.328 11.863
O 6.483 8.252 10.066
O 6.837 8.252 3.611
O 4.594 8.930 8.765
O 8.726 8.930 2.310
O 0.096 8.948 8.143
O 4.344 8.948 1.688
O 1.780 0.068 0.361
O 2.660 0.068 6.816
```

Properties
As for the crystal system: orthorhombic. The space group is Pbca (61). The calculation puts the distance to the lowest polymorph of the same formula at 0.00 kJ per mole of atoms. The calculation puts the uncorrected formation energy at -1.74 eV/atom.



Copy entry 3 word for word.
The following is a SCAN calculation of a crystal of VS2O8 relaxed with PBEsol, from Alexandria via LeMat-Bulk.

Structure (extended XYZ):
```
88
Lattice="8.880 0.000 0.000 0.000 9.072 0.000 0.000 0.000 12.910" Properties=species:S:1:pos:R:3 pbc="T T T"
V 0.995 1.298 1.639
V 3.445 1.298 8.094
V 5.435 3.237 1.639
V 7.885 3.237 8.094
V 0.995 5.834 4.816
V 3.445 5.834 11.271
V 5.435 7.773 4.816
V 7.885 7.773 11.271
S 0.530 0.665 9.244
S 3.910 0.665 2.789
S 6.080 1.422 6.253
S 7.240 1.422 12.708
S 1.640 3.113 6.253
S 2.800 3.113 12.708
S 8.350 3.871 2.789
S 4.970 3.871 9.244
S 3.910 5.201 3.666
S 0.530 5.201 10.121
S 6.080 5.958 0.202
S 7.240 5.958 6.657
S 1.640 7.649 0.202
S 2.800 7.649 6.657
S 4.970 8.406 10.121
S 8.350 8.406 3.666
O 6.220 9.003 6.094
O 7.100 9.003 12.549
O 8.784 0.123 4.767
O 4.536 0.123 11.222
O 4.286 0.142 4.145
O 0.154 0.142 10.600
O 2.043 0.819 9.299
O 2.397 0.819 2.844
O 6.441 1.743 1.047
O 6.878 1.743 7.502
O 8.665 1.688 0.211
O 4.655 1.688 6.666
O 8.866 2.083 9.244
O 4.454 2.083 2.789
O 6.450 2.165 5.103
O 6.870 2.165 11.558
O 2.010 2.371 5.103
O 2.430 2.371 11.558
O 0.014 2.453 2.789
O 4.426 2.453 9.244
O 0.215 2.848 6.666
O 4.225 2.848 0.211
O 2.002 2.793 1.047
O 2.438 2.793 7.502
O 6.837 3.717 2.844
O 6.483 3.717 9.299
O 4.594 4.394 10.600
O 8.726 4.394 4.145
O 4.344 4.413 4.767
O 0.096 4.413 11.222
O 1.780 4.604 6.094
O 2.660 4.604 12.549
O 6.220 4.467 0.361
O 7.100 4.467 6.816
O 4.536 4.659 8.143
O 8.784 4.659 1.688
O 4.286 4.678 2.310
O 0.154 4.678 8.765
O 2.397 5.355 3.611
O 2.043 5.355 10.066
O 6.441 6.279 5.408
O 6.878 6.279 11.863
O 4.655 6.223 12.699
O 8.665 6.223 6.244
O 4.454 6.619 3.666
O 8.866 6.619 10.121
O 6.450 6.701 1.352
O 6.870 6.701 7.807
O 2.010 6.907 1.352
O 2.430 6.907 7.807
O 4.426 6.989 10.121
O 0.014 6.989 3.666
O 4.225 7.384 6.244
O 0.215 7.384 12.699
O 2.002 7.328 5.408
O 2.438 7.328 11.863
O 6.483 8.252 10.066
O 6.837 8.252 3.611
O 4.594 8.930 8.765
O 8.726 8.930 2.310
O 0.096 8.948 8.143
O 4.344 8.948 1.688
O 1.780 0.068 0.361
O 2.660 0.068 6.816
```

Properties
As for the crystal system: orthorhombic. The space group is Pbca (61). The calculation puts the distance to the lowest polymorph of the same formula at 0.00 kJ per mole of atoms. The calculation puts the uncorrected formation energy at -1.74 eV/atom.



Please write out number 1 again, unchanged.
The following is a SCAN calculation of a crystal of V2S3O12 relaxed with PBEsol, from Alexandria via LeMat-Bulk.

Structure (extended XYZ):
```
34
Lattice="-6.370 1.720 3.503 -3.598 -5.733 3.161 1.200 0.055 8.535" Properties=species:S:1:pos:R:3 pbc="T T T"
V -5.007 -4.331 8.197
V -5.773 -0.632 12.633
V -2.996 -3.326 2.566
V -3.762 0.374 7.002
S -6.383 -1.561 7.212
S -5.037 -3.539 11.388
S -3.464 -5.275 5.316
S -5.305 1.317 9.884
S -3.732 -0.419 3.812
S -2.386 -2.397 7.987
O -8.575 -4.031 9.435
O -8.242 -3.285 13.736
O -6.988 -0.771 8.226
O -6.279 -3.009 7.528
O -7.297 -1.541 5.929
O -4.950 -4.610 12.317
O -4.371 -4.756 6.348
O -5.054 -1.088 6.766
O -5.894 -2.405 11.822
O -5.755 -4.047 10.081
O -5.623 0.251 10.844
O -5.033 -0.965 4.255
O -3.736 -2.993 10.945
O -3.146 -4.209 4.355
O -3.014 0.089 5.119
O -2.875 -1.553 3.378
O -3.714 -2.870 8.434
O -4.398 0.798 8.851
O -3.819 0.652 2.883
O -1.472 -2.416 9.270
O -2.490 -0.949 7.672
O -1.781 -3.186 6.973
O -0.527 -0.672 1.464
O -0.194 0.073 5.764
```

Properties
As for the crystal system: monoclinic. The space group is C2/c (15). The calculation puts the uncorrected formation energy at -1.85 eV/atom.



Question: Which formula does entry 1 have?
Answer: V2S3O12